Ac4Hg5Pb GGA-PBE relaxed; symmetry = No. 123; E_tot = -2.587 eV per atom; total magnetization = 0.11 μB/cell; DOS(E_F) = 0.832 states/eV/atom; energy relative to the elements = -422 meV per atom
1.0
4.0622 0.0000 0.0000
0.0000 4.0622 0.0000
0.0000 0.0000 19.3825
Ac Hg Pb
4 5 1
Cartesian
0.0000 0.0000 2.0223 Ac
0.0000 0.0000 6.0625 Ac
0.0000 0.0000 13.3200 Ac
0.0000 0.0000 17.3601 Ac
2.0311 2.0311 0.0000 Hg
2.0311 2.0311 3.9873 Hg
2.0311 2.0311 7.9643 Hg
2.0311 2.0311 11.4182 Hg
2.0311 2.0311 15.3952 Hg
0.0000 0.0000 9.6912 Pb